A plane-wave DFT calculation with PBE was carried out for an optimized crystal structure of Ho3Mn3Ga2Ge.

Cell lengths 7.0935, 7.0935, 4.0221 Å; angles 90.00, 90.00, 120.00 degrees
Space group P-62m (No. 189)
Inequivalent atoms, fractional coordinates:
Ho  0.0000  0.4104  0.0000 x3
Mn  0.0000  0.7650  0.5000 x3
Ga  0.3333  0.6667  0.5000 x2
Ge  0.0000  0.0000  0.0000 x1

E_form = -0.329 eV per atom
Final energy = -54.88 eV per formula unit
E above lowest polymorph = 34 meV per atom

A plane-wave DFT calculation with PBE was carried out for an optimized crystal structure of Mn2Ni.

Cell lengths 6.9570, 6.9570, 2.5425 Å; angles 90.00, 90.00, 120.00 degrees
Space group P-62m (No. 189)
Inequivalent atoms, fractional coordinates:
Mn  0.0000  0.3012  0.0000 x3
Mn  0.0000  0.6367  0.5000 x3
Ni  0.0000  0.0000  0.5000 x1
Ni  0.3333  0.6667  0.0000 x2

E_form = 0.027 eV per atom
Final energy = -24.04 eV per formula unit

A plane-wave DFT calculation with PBE was carried out for an optimized crystal structure of KYBi2Mo.

Cell lengths 5.863, 5.863, 6.301 Å; angles 90.00, 90.00, 90.00 degrees
Space group P4/mmm (No. 123)
Inequivalent atoms, fractional coordinates:
K  0.000  0.000  0.000 x1
Y  0.000  0.000  0.500 x1
Bi  0.000  0.500  0.500 x2
Mo  0.500  0.500  0.000 x1

E_form = 1.158 eV per atom
Final energy = -20.37 eV per formula unit

A plane-wave DFT calculation with PBE was carried out for an optimized crystal structure of CrReW2.

Cell lengths 9.745, 3.103, 4.401 Å; angles 90.00, 116.74, 90.00 degrees
Space group C2/m (No. 12)
Inequivalent atoms, fractional coordinates:
Cr  0.000  0.000  0.000 x2
Re  0.000  0.500  0.500 x2
W  0.246  0.500  0.246 x4

E_form = 0.073 eV per atom
Final energy = -47.69 eV per formula unit
E above lowest polymorph = 46 meV per atom

A plane-wave DFT calculation with PBE was carried out for an optimized crystal structure of Rb2LiHgAs.

Cell lengths 6.798, 6.798, 4.886 Å; angles 90.00, 90.00, 90.00 degrees
Space group P4/mmm (No. 123)
Inequivalent atoms, fractional coordinates:
Rb  0.000  0.500  0.000 x2
Li  0.000  0.000  0.500 x1
Hg  0.500  0.500  0.500 x1
As  0.000  0.000  0.000 x1

E_form = -0.273 eV per atom
Final energy = -10.17 eV per formula unit
E above lowest polymorph = 0 meV per atom

A plane-wave DFT calculation with PBE was carried out for an optimized crystal structure of NaGaH2Se.

Cell lengths 3.733, 3.733, 6.618 Å; angles 90.00, 90.00, 90.00 degrees
Space group P4/mmm (No. 123)
Inequivalent atoms, fractional coordinates:
Na  0.000  0.000  0.000 x1
Ga  0.000  0.000  0.500 x1
H  0.000  0.500  0.500 x2
Se  0.500  0.500  0.000 x1

Final energy = -13.73 eV per formula unit

> The lowest final energy belongs to which entry?

Ho3Mn3Ga2Ge

> What is the final energy in the first record?

-54.88 eV per formula unit